Compound: PmHoSn
Source: the Open Quantum Materials Database
Functional: PBE
Structure: optimized geometry Values from VASP.

```
&SYSTEM
  ibrav = 0, nat = 3, ntyp = 3
/
ATOMIC_SPECIES
Ho 164.93 Ho.upf
Pm 145.00 Pm.upf
Sn 118.71 Sn.upf
ATOMIC_POSITIONS crystal
Ho 0.000 0.000 0.000
Pm 0.500 0.500 0.500
Sn 0.750 0.750 0.750
CELL_PARAMETERS angstrom
-3.376 -3.896 -0.552
-2.350 -2.004 4.164
-5.060 0.826 0.769
```

- ρ: 7.22 Mg/m³
- Raw total energy: -4.8479 eV/atom

---

Compound: TbPmHo
Source: the Open Quantum Materials Database
Functional: PBE
Structure: optimized geometry Values from VASP.

```
&SYSTEM
  ibrav = 0, nat = 3, ntyp = 3
/
ATOMIC_SPECIES
Pm 145.00 Pm.upf
Tb 158.93 Tb.upf
Ho 164.93 Ho.upf
ATOMIC_POSITIONS crystal
Pm 0.250 0.250 0.250
Tb 0.750 0.750 0.750
Ho 0.000 0.000 0.000
CELL_PARAMETERS angstrom
4.831 0.053 2.506
0.496 2.307 4.904
0.819 -3.102 4.396
```

- ρ: 6.83 Mg/m³
- Energy of formation: 69 kJ/mol of atoms
- ΔE to the lowest computed polymorph: 0.00 eV per formula unit

---

Compound: Tb2Pm3Ho
Source: the Open Quantum Materials Database
Functional: PBE
Structure: optimized geometry Values from VASP.

```
&SYSTEM
  ibrav = 0, nat = 12, ntyp = 3
/
ATOMIC_SPECIES
Ho 164.93 Ho.upf
Tb 158.93 Tb.upf
Pm 145.00 Pm.upf
ATOMIC_POSITIONS crystal
Ho 0.666 0.334 0.220
Tb 0.333 0.001 0.220
Tb 0.999 0.667 0.220
Tb 0.001 0.333 0.720
Pm 0.333 0.334 0.470
Pm 0.000 0.000 0.970
Ho 0.334 0.666 0.720
Pm 0.667 0.666 0.970
Tb 0.667 0.999 0.720
Pm 0.334 0.333 0.970
Pm 0.666 0.667 0.470
Pm 0.000 0.000 0.470
CELL_PARAMETERS angstrom
-3.792 -2.991 4.010
-0.164 -6.275 0.080
8.510 -0.122 7.956
```

- ρ: 7.67 Mg/m³
- Energy of formation: 0 kJ/mol of atoms

---

Compound: PmHoTe
Source: the Open Quantum Materials Database
Functional: PBE
Structure: optimized geometry Values from VASP.

```
&SYSTEM
  ibrav = 0, nat = 3, ntyp = 3
/
ATOMIC_SPECIES
Ho 164.93 Ho.upf
Te 127.60 Te.upf
Pm 145.00 Pm.upf
ATOMIC_POSITIONS crystal
Ho 0.500 0.500 0.500
Te 0.250 0.250 0.250
Pm 0.000 0.000 0.000
CELL_PARAMETERS angstrom
0.000 3.611 3.611
3.611 0.000 3.611
3.611 3.611 0.000
```

- ρ: 7.71 Mg/m³
- Raw total energy: -4.6975 eV/atom

---

Compound: PmHoTh
Source: the Open Quantum Materials Database
Functional: PBE
Structure: optimized geometry Values from VASP.

```
&SYSTEM
  ibrav = 0, nat = 3, ntyp = 3
/
ATOMIC_SPECIES
Pm 145.00 Pm.upf
Th 232.04 Th.upf
Ho 164.93 Ho.upf
ATOMIC_POSITIONS crystal
Pm 0.250 0.250 0.250
Th 0.750 0.750 0.750
Ho 0.000 0.000 0.000
CELL_PARAMETERS angstrom
0.000 3.843 3.843
3.843 0.000 3.843
3.843 3.843 0.000
```

- ρ: 7.93 Mg/m³
- Energy of formation: 75 kJ/mol of atoms
- ΔE to the lowest computed polymorph: 0.00 eV per formula unit

---

Compound: PmHoTl
Source: the Open Quantum Materials Database
Functional: PBE
Structure: optimized geometry Values from VASP.

```
&SYSTEM
  ibrav = 0, nat = 3, ntyp = 3
/
ATOMIC_SPECIES
Tl 204.38 Tl.upf
Pm 145.00 Pm.upf
Ho 164.93 Ho.upf
ATOMIC_POSITIONS crystal
Tl 0.000 0.000 0.000
Pm 0.750 0.750 0.750
Ho 0.250 0.250 0.250
CELL_PARAMETERS angstrom
0.000 3.686 3.686
3.686 0.000 3.686
3.686 3.686 0.000
```

- ρ: 8.53 Mg/m³
- Raw total energy: -3.9323 eV/atom